Record 1
{"formula": "TbGd2Al", "functional": "PBE", "state": "relaxed", "cell": [[-0.1985, -0.1184, 5.3710], [-1.4095, -4.5243, 2.5386], [3.6729, -2.7869, 2.7647]], "species": ["Gd", "Gd", "Tb", "Al"], "fractional_positions": [[0.2500, 0.2500, 0.2500], [0.7500, 0.7500, 0.7500], [0.0000, 0.0000, 0.0000], [0.5000, 0.5000, 0.5000]], "polymorph_energy_ev_per_atom": 0.127, "e_tot_ev_per_atom": -9.204, "sg": "Fm-3m", "e_form_ev_per_atom": -0.071}

Record 2
{"formula": "In6AgSn3", "functional": "PBE", "state": "relaxed", "cell": [[-2.3877, -1.1989, -3.6403], [5.6978, -8.9102, -0.8028], [-9.1653, -2.9016, 6.9671]], "species": ["Sn", "Sn", "Sn", "Sn", "Sn", "Sn", "In", "In", "In", "In", "In", "In", "In", "In", "In", "In", "In", "In", "Ag", "Ag"], "fractional_positions": [[0.2500, 0.4579, 0.2061], [0.7500, 0.5421, 0.7939], [0.7500, 0.0926, 0.8858], [0.2500, 0.1537, 0.7267], [0.7500, 0.8463, 0.2733], [0.2500, 0.9074, 0.1142], [0.2500, 0.5176, 0.6137], [0.2500, 0.4182, 0.9117], [0.7500, 0.5818, 0.0883], [0.7500, 0.9611, 0.5809], [0.2500, 0.1821, 0.0644], [0.7500, 0.1538, 0.2508], [0.7500, 0.8179, 0.9356], [0.2500, 0.7250, 0.4243], [0.2500, 0.8462, 0.7492], [0.2500, 0.0389, 0.4191], [0.7500, 0.4824, 0.3863], [0.7500, 0.2750, 0.5757], [0.2500, 0.3025, 0.4016], [0.7500, 0.6975, 0.5984]], "e_tot_ev_per_atom": -3.078, "sg": "P2_1/m", "e_form_ev_per_atom": 0.051}

Record 3
{"formula": "Y2GaHg3", "functional": "PBE", "state": "relaxed", "cell": [[3.5444, 0.0000, 0.0000], [0.0000, 4.8074, 0.0000], [0.0000, 0.0000, 8.3040]], "species": ["Ga", "Y", "Y", "Hg", "Hg", "Hg"], "fractional_positions": [[0.5000, 0.5000, 0.3315], [0.0000, 0.0000, 0.4955], [0.0000, 0.5000, 0.0076], [0.5000, 0.0000, 0.1756], [0.5000, 0.0000, 0.8339], [0.5000, 0.5000, 0.6559]], "e_tot_ev_per_atom": -3.261, "sg": "Pmm2", "e_form_ev_per_atom": -0.451}

Record 4
{"formula": "ScTlSN2", "functional": "PBE", "state": "relaxed", "cell": [[-4.2746, -0.4898, 0.6560], [0.1399, -3.8732, -1.9802], [0.9548, -2.2770, 4.5211]], "species": ["Sc", "N", "N", "S", "Tl"], "fractional_positions": [[0.0000, 0.0000, 0.0000], [0.0000, 0.5000, 0.0000], [0.5000, 0.0000, 0.0000], [0.0000, 0.0000, 0.5000], [0.5000, 0.5000, 0.5000]], "polymorph_energy_ev_per_atom": 0.000, "e_tot_ev_per_atom": -5.481, "e_form_raw_mev_per_atom": 414, "sg": "P4/mmm"}

Record 5
{"formula": "RbCdGaSn2", "functional": "PBE", "state": "relaxed", "cell": [[5.0500, 0.0000, 0.0000], [0.0000, 5.0500, 0.0000], [-2.5250, -2.5250, 5.9412]], "species": ["Ga", "Sn", "Sn", "Rb", "Cd"], "fractional_positions": [[0.7500, 0.2500, 0.5000], [0.3767, 0.3767, 0.7533], [0.6233, 0.6233, 0.2467], [0.0000, 0.0000, 0.0000], [0.2500, 0.7500, 0.5000]], "e_tot_ev_per_atom": -2.724, "sg": "I-4m2", "e_form_ev_per_atom": -0.141}

Record 6
{"formula": "LiMnIn", "functional": "PBE", "state": "relaxed", "cell": [[5.0198, -0.6999, 0.5947], [4.2612, 2.6409, 0.9515], [0.7586, -0.1874, 3.3546]], "species": ["Mn", "In", "Li"], "fractional_positions": [[0.6718, 0.6718, 0.3282], [0.9980, 0.9980, 0.0020], [0.3302, 0.3302, 0.6698]], "polymorph_energy_ev_per_atom": 0.052, "e_tot_ev_per_atom": -4.476, "sg": "I4mm", "e_form_ev_per_atom": 0.131}

Record 7
{"formula": "Y2CdCuSb", "functional": "PBE", "state": "relaxed", "cell": [[5.3287, 0.0000, 0.0000], [0.0000, 4.8340, 0.0000], [0.0000, 0.0000, 5.3287]], "species": ["Cd", "Y", "Y", "Sb", "Cu"], "fractional_positions": [[0.5000, 0.5000, 0.5000], [0.5000, 0.0000, 0.0000], [0.0000, 0.0000, 0.5000], [0.0000, 0.5000, 0.0000], [0.0000, 0.0000, 0.0000]], "polymorph_energy_ev_per_atom": 0.157, "e_tot_ev_per_atom": -4.483, "e_form_raw_mev_per_atom": -71, "sg": "P4/mmm"}

Record 8
{"formula": "Li12Cu2Pt", "functional": "PBE", "state": "relaxed", "cell": [[5.3379, -1.5066, 0.0000], [-1.5066, 5.3379, 0.0000], [0.0000, 0.0000, 18.2784]], "species": ["Li", "Li", "Li", "Li", "Li", "Li", "Li", "Li", "Li", "Li", "Li", "Li", "Li", "Li", "Li", "Li", "Li", "Li", "Li", "Li", "Li", "Li", "Li", "Li", "Cu", "Cu", "Cu", "Cu", "Pt", "Pt"], "fractional_positions": [[0.8727, 0.6273, 0.5002], [0.2498, 0.7498, 0.3716], [0.2500, 0.2500, 0.0667], [0.6273, 0.8727, 0.4998], [0.1273, 0.3727, 0.5002], [0.2500, 0.7500, 0.1235], [0.0000, 0.0000, 0.3568], [0.5000, 0.5000, 0.7815], [0.0000, 0.0000, 0.2185], [0.5000, 0.5000, 0.2185], [0.7502, 0.2502, 0.3716], [0.7500, 0.7500, 0.9333], [0.3727, 0.1273, 0.4998], [0.7500, 0.2500, 0.1235], [0.2500, 0.2500, 0.9333], [0.2502, 0.7502, 0.6284], [0.5000, 0.5000, 0.6432], [0.7498, 0.2498, 0.6284], [0.7500, 0.7500, 0.0667], [0.5000, 0.5000, 0.3568], [0.7500, 0.2500, 0.8765], [0.0000, 0.0000, 0.7815], [0.0000, 0.0000, 0.6432], [0.2500, 0.7500, 0.8765], [0.0000, 0.5000, 0.7474], [0.5000, 0.0000, 0.7475], [0.5000, 0.0000, 0.2526], [0.0000, 0.5000, 0.2525], [0.5000, 0.0000, 0.0000], [0.0000, 0.5000, 0.0000]], "e_tot_ev_per_atom": -2.516, "sg": "Pmmm", "e_form_ev_per_atom": -0.036}

Record 9
{"formula": "Tm5In2", "functional": "PBE", "state": "relaxed", "cell": [[-1.2801, -4.0666, 2.7800], [2.9045, 0.6950, 2.3540], [-11.5119, 13.7448, 10.1457]], "species": ["Tm", "Tm", "Tm", "Tm", "Tm", "Tm", "Tm", "Tm", "Tm", "Tm", "In", "In", "In", "In"], "fractional_positions": [[0.5380, 0.2500, 0.0759], [0.4620, 0.7500, 0.9241], [0.7596, 0.2500, 0.5191], [0.8295, 0.7500, 0.6591], [0.3857, 0.2500, 0.7714], [0.6143, 0.7500, 0.2286], [0.9674, 0.2500, 0.9347], [0.2404, 0.7500, 0.4809], [0.0326, 0.7500, 0.0653], [0.1705, 0.2500, 0.3409], [0.0956, 0.2500, 0.1913], [0.9044, 0.7500, 0.8087], [0.3075, 0.2500, 0.6149], [0.6925, 0.7500, 0.3851]], "polymorph_energy_ev_per_atom": 0.077, "e_tot_ev_per_atom": -4.165, "sg": "Cmcm", "e_form_ev_per_atom": -0.188}

Record 10
{"formula": "Rb3NdN6", "functional": "PBE", "state": "relaxed", "cell": [[3.3626, 5.8129, 4.8943], [-3.7950, 5.8125, -4.5677], [-6.6090, -0.6149, 4.9995]], "species": ["N", "N", "N", "N", "N", "N", "N", "N", "N", "N", "N", "N", "Rb", "Rb", "Rb", "Rb", "Rb", "Rb", "Nd", "Nd"], "fractional_positions": [[0.1833, 0.3270, 0.0109], [0.5488, 0.3080, 0.1949], [0.6730, 0.8167, 0.9891], [0.0109, 0.1833, 0.3270], [0.1949, 0.5488, 0.3080], [0.6920, 0.4512, 0.8051], [0.3080, 0.1949, 0.5488], [0.9891, 0.6730, 0.8167], [0.4512, 0.8051, 0.6920], [0.3270, 0.0109, 0.1833], [0.8051, 0.6920, 0.4512], [0.8167, 0.9891, 0.6730], [0.5000, 0.1462, 0.8538], [0.3091, 0.6909, 0.0000], [0.0000, 0.3091, 0.6909], [0.8538, 0.5000, 0.1462], [0.1462, 0.8538, 0.5000], [0.6909, 0.0000, 0.3091], [0.2782, 0.2782, 0.2782], [0.7218, 0.7218, 0.7218]], "e_tot_ev_per_atom": -4.281, "e_form_raw_mev_per_atom": 1481, "sg": "R32"}

Record 11
{"formula": "Y2SiPt", "functional": "PBE", "state": "relaxed", "cell": [[-3.1669, -2.5959, -5.9897], [0.2939, -4.8137, -5.4209], [-3.1197, -5.6973, -3.2332]], "species": ["Y", "Y", "Pt", "Si"], "fractional_positions": [[0.0331, 0.0331, 0.0331], [0.2172, 0.2172, 0.2172], [0.4501, 0.4501, 0.4501], [0.7996, 0.7996, 0.7996]], "e_tot_ev_per_atom": -6.937, "e_form_raw_mev_per_atom": -839, "sg": "R3m"}

Record 12
{"formula": "Ho2ZnFe2Co5", "functional": "PBE", "state": "relaxed", "cell": [[3.7058, 0.0000, 0.0000], [0.0000, 8.8416, 0.0000], [0.0000, 0.0000, 8.8416]], "species": ["Co", "Co", "Co", "Co", "Co", "Co", "Co", "Co", "Co", "Co", "Fe", "Fe", "Fe", "Fe", "Ho", "Ho", "Ho", "Ho", "Zn", "Zn"], "fractional_positions": [[0.5000, 0.2928, 0.5573], [0.5000, 0.5000, 0.0000], [0.5000, 0.2072, 0.0573], [0.5000, 0.0000, 0.5000], [0.5000, 0.7072, 0.4427], [0.5000, 0.0573, 0.7928], [0.5000, 0.7928, 0.9427], [0.5000, 0.4427, 0.2928], [0.5000, 0.9427, 0.2072], [0.5000, 0.5573, 0.7072], [0.0000, 0.8874, 0.3874], [0.0000, 0.3874, 0.1126], [0.0000, 0.1126, 0.6126], [0.0000, 0.6126, 0.8874], [0.0000, 0.3158, 0.8158], [0.0000, 0.8158, 0.6842], [0.0000, 0.1842, 0.3158], [0.0000, 0.6842, 0.1842], [0.0000, 0.0000, 0.0000], [0.0000, 0.5000, 0.5000]], "e_tot_ev_per_atom": -6.293, "sg": "P4/mbm", "e_form_ev_per_atom": -0.004}